(1)
Density functional theory data (PBE) for crystalline Co3AsP at its relaxed geometry.

Computed properties:
Total energy ... -5.98 eV/atom

abc: 4.1364 4.1364 4.1364
angles: 90.00 90.00 90.00
Closest atoms and distances in Å follow each position.
Fractional positions:
As 0.0000 0.0000 0.0000  12 Co 2.92
Co 0.0000 0.5000 0.5000  2 P 2.07
Co 0.5000 0.0000 0.5000  2 P 2.07
Co 0.5000 0.5000 0.0000  2 P 2.07
P 0.5000 0.5000 0.5000  6 Co 2.07


(2)
Density functional theory data (PBE) for crystalline BaLi2Ni2 at its relaxed geometry.

Computed properties:
Total energy ... -3.27 eV/atom

abc: 4.2387 4.2387 6.0863
angles: 110.38 110.38 90.00
Closest atoms and distances in Å follow each position.
Fractional positions:
Ni 0.6085 0.6085 0.2170  1 Ni 2.30
Ni 0.3915 0.3915 0.7830  1 Ni 2.30
Ba 0.0000 0.0000 0.0000  8 Ni 3.21, 8 Li 3.39
Li 0.2500 0.7500 0.5000  4 Ni 2.60
Li 0.7500 0.2500 0.5000  4 Ni 2.60


(3)
Density functional theory data (PBE) for crystalline SmHfAsO at its relaxed geometry.

Computed properties:
Energy above the most stable polymorph in this dataset ... 173 meV/atom

abc: 4.0310 7.7335 5.2057
angles: 90.00 90.00 90.00
Closest atoms and distances in Å follow each position.
Fractional positions:
O 0.5000 0.3213 0.4385  2 Hf 2.11
O 0.5000 0.6787 0.9385  2 Hf 2.11
Sm 0.5000 0.6345 0.4386  3 O 2.42-2.63
Sm 0.5000 0.3655 0.9386  3 O 2.42-2.63
As 0.0000 0.8933 0.4385  3 Hf 2.70-2.81, 2 Sm 2.84
As 0.0000 0.1067 0.9385  3 Hf 2.70-2.81, 2 Sm 2.84
Hf 0.0000 0.2427 0.4385  2 O 2.11
Hf 0.0000 0.7573 0.9385  2 O 2.11


(4)
Density functional theory data (PBE) for crystalline ZrAlHg at its relaxed geometry.

Computed properties:
Energy above the most stable polymorph in this dataset ... 0 meV/atom

abc: 4.5833 4.5833 4.5833
angles: 60.00 60.00 60.00
Closest atoms and distances in Å follow each position.
Fractional positions:
Al 0.2500 0.2500 0.2500  4 Hg 2.81
Hg 0.0000 0.0000 0.0000  4 Zr 2.81, 4 Al 2.81
Zr 0.7500 0.7500 0.7500  4 Hg 2.81


(5)
Density functional theory data (PBE) for crystalline NaPrCo at its relaxed geometry.

Computed properties:
Energy above the most stable polymorph in this dataset ... 409 meV/atom

abc: 4.7736 4.7736 4.7736
angles: 60.00 60.00 60.00
Closest atoms and distances in Å follow each position.
Fractional positions:
Na 0.7500 0.7500 0.7500  4 Pr 2.92
Co 0.2500 0.2500 0.2500  4 Pr 2.92
Pr 0.0000 0.0000 0.0000  4 Co 2.92, 4 Na 2.92


(6)
Density functional theory data (PBE) for crystalline Pr5Ge2Pb at its relaxed geometry.

Computed properties:
Total energy ... -5.25 eV/atom

abc: 9.2575 9.2575 9.2575
angles: 127.64 127.64 77.21
Closest atoms and distances in Å follow each position.
Fractional positions:
Pr 0.3033 0.4772 0.5000  3 Ge 3.07-3.19
Pr 0.0000 0.0000 0.0000  4 Ge 3.17
Pr 0.0228 0.1967 0.5000  3 Ge 3.07-3.19
Pr 0.1967 0.6967 0.1739  3 Ge 3.07-3.19
Pr 0.8033 0.3033 0.8261  3 Ge 3.07-3.19
Pr 0.6967 0.5228 0.5000  3 Ge 3.07-3.19
Pr 0.4772 0.9772 0.1739  3 Ge 3.07-3.19
Pr 0.5228 0.0228 0.8261  3 Ge 3.07-3.19
Pr 0.5000 0.5000 0.0000  4 Ge 3.17
Pr 0.9772 0.8033 0.5000  3 Ge 3.07-3.19
Ge 0.1379 0.6379 0.7757  8 Pr 3.07-3.19, 1 Ge 3.19
Ge 0.3621 0.1379 0.5000  8 Pr 3.07-3.19, 1 Ge 3.19
Ge 0.8621 0.3621 0.2243  8 Pr 3.07-3.19, 1 Ge 3.19
Ge 0.6379 0.8621 0.5000  8 Pr 3.07-3.19, 1 Ge 3.19
Pb 0.7500 0.7500 0.0000  10 Pr 3.45-3.62
Pb 0.2500 0.2500 0.0000  10 Pr 3.45-3.62


(7)
Density functional theory data (PBE) for crystalline DyHoTa2Sn2 at its relaxed geometry.

Computed properties:
Total energy ... -7.18 eV/atom

abc: 4.1883 4.1883 8.0964
angles: 90.00 90.00 90.00
Closest atoms and distances in Å follow each position.
Fractional positions:
Ta 0.5000 0.0000 0.9997  4 Sn 2.94, 4 Ta 2.96
Ta 0.0000 0.5000 0.9997  4 Sn 2.94, 4 Ta 2.96
Sn 0.0000 0.0000 0.7441  4 Ta 2.94, 4 Ho 3.05, 1 Dy 3.21
Sn 0.5000 0.5000 0.2554  4 Ta 2.94, 4 Dy 3.05, 1 Ho 3.22
Ho 0.5000 0.5000 0.6532  5 Sn 3.05-3.22
Dy 0.0000 0.0000 0.3479  5 Sn 3.05-3.21


(8)
Density functional theory data (PBE) for crystalline CsZrAgTeS2 at its relaxed geometry.

Computed properties:
Total energy ... -4.94 eV/atom

abc: 8.6958 8.6958 10.7922
angles: 90.00 90.00 153.89
Closest atoms and distances in Å follow each position.
Fractional positions:
Ag 0.9700 0.0300 0.7500  2 S 2.48, 2 Te 2.76
Ag 0.0300 0.9700 0.2500  2 S 2.48, 2 Te 2.76
Cs 0.2766 0.7234 0.7500  4 S 3.61, 2 Te 3.80, 2 Ag 3.82, 2 Cs 3.93
Cs 0.7234 0.2766 0.2500  4 S 3.61, 2 Te 3.80, 2 Ag 3.82, 2 Cs 3.93
S 0.0994 0.9006 0.4527  1 Ag 2.48, 2 Zr 2.64
S 0.9006 0.0994 0.5473  1 Ag 2.48, 2 Zr 2.64
S 0.0994 0.9006 0.0473  1 Ag 2.48, 2 Zr 2.64
S 0.9006 0.0994 0.9527  1 Ag 2.48, 2 Zr 2.64
Zr 0.5000 0.5000 0.0000  4 S 2.64
Zr 0.5000 0.5000 0.5000  4 S 2.64
Te 0.5846 0.4154 0.7500  2 Ag 2.76, 2 Zr 3.05
Te 0.4154 0.5846 0.2500  2 Ag 2.76, 2 Zr 3.05


(9)
Density functional theory data (PBE) for crystalline TmPSe3S at its relaxed geometry.

Computed properties:
Energy above the most stable polymorph in this dataset ... 0 meV/atom

abc: 6.5787 6.7806 7.8587
angles: 88.24 87.02 83.45
Closest atoms and distances in Å follow each position.
Fractional positions:
Se 0.8858 0.9887 0.2196  1 P 2.25
Se 0.3840 0.2753 0.0927  1 P 2.24
Se 0.1142 0.0113 0.7804  1 P 2.25
Se 0.4187 0.7550 0.3482  1 P 2.18
Se 0.5813 0.2450 0.6518  1 P 2.18
Se 0.6160 0.7247 0.9073  1 P 2.24
S 0.0930 0.5032 0.7746  1 P 2.08
S 0.9070 0.4968 0.2254  1 P 2.08
Tm 0.7988 0.2956 0.9453  2 S 2.79, 5 Se 2.83-3.03
Tm 0.2012 0.7044 0.0547  2 S 2.79, 5 Se 2.83-3.03
P 0.6941 0.7418 0.1801  1 S 2.08, 3 Se 2.18-2.25
P 0.3059 0.2582 0.8199  1 S 2.08, 3 Se 2.18-2.25


(10)
Density functional theory data (PBE) for crystalline FeAgSnOs at its relaxed geometry.

Computed properties:
Energy above the most stable polymorph in this dataset ... 0 meV/atom

abc: 4.5093 4.5093 4.5093
angles: 60.00 60.00 60.00
Closest atoms and distances in Å follow each position.
Fractional positions:
Os 0.2500 0.2500 0.2500  4 Sn 2.76, 4 Ag 2.76
Sn 0.0000 0.0000 0.0000  4 Os 2.76, 4 Fe 2.76
Fe 0.7500 0.7500 0.7500  4 Ag 2.76, 4 Sn 2.76
Ag 0.5000 0.5000 0.5000  4 Fe 2.76, 4 Os 2.76


(11)
Density functional theory data (PBE) for crystalline NdIn2Se4 at its relaxed geometry.

Computed properties:
Total energy ... -4.24 eV/atom

abc: 7.5775 7.5775 7.5775
angles: 131.85 131.85 70.47
Closest atoms and distances in Å follow each position.
Fractional positions:
Se 0.6275 0.5760 0.4696  2 In 2.64-2.82, 1 Nd 2.85
Se 0.4240 0.8936 0.0515  2 In 2.64-2.82, 1 Nd 2.85
Se 0.8421 0.3725 0.9485  2 In 2.64-2.82, 1 Nd 2.85
Se 0.1064 0.1579 0.5304  2 In 2.64-2.82, 1 Nd 2.85
Nd 0.0000 0.0000 0.0000  4 Se 2.85
In 0.5000 0.5000 0.0000  4 Se 2.64
In 0.2500 0.7500 0.5000  4 Se 2.82


(12)
Density functional theory data (PBE) for crystalline TlCuPdAu at its relaxed geometry.

Computed properties:
Energy above the most stable polymorph in this dataset ... 0 meV/atom

abc: 4.6062 4.6062 4.6062
angles: 60.00 60.00 60.00
Closest atoms and distances in Å follow each position.
Fractional positions:
Tl 0.0000 0.0000 0.0000  4 Cu 2.82, 4 Pd 2.82
Au 0.5000 0.5000 0.5000  4 Cu 2.82, 4 Pd 2.82
Cu 0.7500 0.7500 0.7500  4 Au 2.82, 4 Tl 2.82
Pd 0.2500 0.2500 0.2500  4 Au 2.82, 4 Tl 2.82


no.,mass density (g/cm3)
1,6.63
2,4.69
3,8.59
4,7.78
5,4.81
6,7.27
7,10.84
8,4.84
9,4.48
10,12.11
11,4.84
12,13.73